1.
Compound: NaCd2F5
Source: the Alexandria database
Functional: PBE
Structure: relaxed

Values from the calculation:
- offset from the most stable computed form (meV per atom) = 0
- uncorrected formation energy (eV per atom) = -2.33
- density (g/cm³) = 4.06
- Fermi-level density of states (states/eV per cell) = 0.000

a = 4.323 Å, b = 6.137 Å, c = 11.283 Å
α = 90.00°, β = 90.00°, γ = 110.62°
Element x y z (fractional)
1 Na 0.811 0.621 0.750
2 Na 0.189 0.379 0.250
3 Cd 0.863 0.726 0.434
4 Cd 0.863 0.726 0.066
5 Cd 0.137 0.274 0.566
6 Cd 0.137 0.274 0.934
7 F 0.950 0.900 0.888
8 F 0.950 0.900 0.612
9 F 0.301 0.602 0.434
10 F 0.301 0.602 0.066
11 F 0.782 0.564 0.250
12 F 0.218 0.436 0.750
13 F 0.699 0.398 0.566
14 F 0.699 0.398 0.934
15 F 0.050 0.100 0.112
16 F 0.050 0.100 0.388

2.
Compound: Y8Sn3Te4As
Source: the Alexandria database
Functional: PBE
Structure: relaxed

Values from the calculation:
- uncorrected formation energy (eV per atom) = -1.19
- density (g/cm³) = 5.83
- Fermi-level density of states (states/eV per cell) = 4.203

a = 8.715 Å, b = 8.754 Å, c = 8.715 Å
α = 119.86°, β = 120.00°, γ = 90.00°
Element x y z (fractional)
1 Y 0.240 0.730 0.990
2 Y 0.240 0.730 0.480
3 Y 0.254 0.262 0.508
4 Y 0.750 0.730 0.990
5 Y 0.250 0.270 0.010
6 Y 0.746 0.738 0.492
7 Y 0.760 0.270 0.520
8 Y 0.760 0.270 0.010
9 Sn 0.500 0.500 0.000
10 Sn 0.500 0.500 0.500
11 Sn 0.000 0.500 0.500
12 Te 0.500 0.000 0.000
13 Te 0.500 0.000 0.500
14 Te 0.000 0.000 0.000
15 Te 0.000 0.000 0.500
16 As 0.000 0.500 0.000

3.
Compound: NaTbPr
Source: the Alexandria database
Functional: PBE
Structure: relaxed

Values from the calculation:
- ΔH_f (0 K) (eV/f.u.) = 1.19
- offset from the most stable computed form (meV per atom) = 292
- density (g/cm³) = 5.00
- Fermi-level density of states (states/eV per cell) = 7.797

a = 6.610 Å, b = 6.776 Å, c = 6.405 Å
α = 75.42°, β = 58.94°, γ = 60.81°
Element x y z (fractional)
1 Tb 0.750 0.500 0.500
2 Tb 0.250 0.500 0.500
3 Na 0.869 0.261 0.000
4 Na 0.131 0.739 0.000
5 Pr 0.671 0.000 0.659
6 Pr 0.329 0.000 0.341

4.
Compound: LiAc4In5
Source: the Alexandria database
Functional: PBE
Structure: relaxed

Values from the calculation:
- ΔH_f (0 K) (eV/f.u.) = -3.87
- density (g/cm³) = 7.80
- Fermi-level density of states (states/eV per cell) = 6.578

a = 3.843 Å, b = 3.843 Å, c = 21.456 Å
α = 90.00°, β = 90.00°, γ = 90.00°
Element x y z (fractional)
1 Li 0.000 0.000 0.000
2 Ac 0.000 0.000 0.178
3 Ac 0.000 0.000 0.392
4 Ac 0.000 0.000 0.608
5 Ac 0.000 0.000 0.822
6 In 0.500 0.500 0.071
7 In 0.500 0.500 0.285
8 In 0.500 0.500 0.500
9 In 0.500 0.500 0.715
10 In 0.500 0.500 0.929

5.
Compound: Fe2TcNi
Source: the Alexandria database
Functional: PBE
Structure: relaxed

Values from the calculation:
- ΔH_f (0 K) (eV/f.u.) = 0.35
- density (g/cm³) = 9.21
- Fermi-level density of states (states/eV per cell) = 3.604

a = 4.446 Å, b = 4.446 Å, c = 4.489 Å
α = 80.96°, β = 80.96°, γ = 33.57°
Each line ends with the local moment (μB).
Element x y z (fractional)
1 Fe 0.003 0.003 0.998  2.08
2 Fe 0.752 0.752 0.745  2.13
3 Ni 0.498 0.498 0.507  0.35
4 Tc 0.248 0.248 0.249  -0.21

6.
Compound: Sc2Se2Br
Source: the Alexandria database
Functional: PBE
Structure: relaxed

Values from the calculation:
- offset from the most stable computed form (meV per atom) = 0
- uncorrected formation energy (eV per atom) = -1.66
- density (g/cm³) = 4.53
- Fermi-level density of states (states/eV per cell) = 1.809

a = 3.858 Å, b = 3.858 Å, c = 8.524 Å
α = 103.08°, β = 103.08°, γ = 90.00°
Element x y z (fractional)
1 Sc 0.836 0.836 0.671
2 Sc 0.164 0.164 0.329
3 Se 0.666 0.666 0.331
4 Se 0.334 0.334 0.669
5 Br 0.000 0.000 0.000

7.
Compound: MnCuAg2Sb
Source: the Alexandria database
Functional: PBE
Structure: relaxed

Values from the calculation:
- uncorrected formation energy (eV per atom) = 0.85
- density (g/cm³) = 5.68
- Fermi-level density of states (states/eV per cell) = 2.979

a = 5.278 Å, b = 4.783 Å, c = 5.278 Å
α = 90.00°, β = 90.00°, γ = 90.00°
Each line ends with the local moment (μB).
Element x y z (fractional)
1 Sb 0.000 0.000 0.000  0.05
2 Mn 0.500 0.500 0.500  4.50
3 Cu 0.000 0.500 0.000  0.04
4 Ag 0.000 0.000 0.500  0.00
5 Ag 0.500 0.000 0.000  0.03

8.
Compound: SrMgAl2Au2
Source: the Alexandria database
Functional: PBE
Structure: relaxed

Values from the calculation:
- ΔH_f (0 K) (eV/f.u.) = -3.55
- density (g/cm³) = 7.03
- Fermi-level density of states (states/eV per cell) = 3.668

a = 4.505 Å, b = 4.505 Å, c = 7.525 Å
α = 90.00°, β = 90.00°, γ = 120.00°
Element x y z (fractional)
1 Sr 0.000 0.000 0.000
2 Mg 0.000 0.000 0.500
3 Al 0.333 0.667 0.688
4 Al 0.667 0.333 0.312
5 Au 0.333 0.667 0.309
6 Au 0.667 0.333 0.691

These records have total DFT energy (no corrections) values of -3.889 -6.244 -3.180 -3.591 -8.180 -5.919 -3.770 -3.478 eV/atom, in the order they appear.